No. 1
## BaCdFeS3 (PBE)

Data for BaCdFeS3 after structural relaxation.

abc: 4.0596 13.4325 10.2822
angles: 90.00 90.00 90.00
With the nearest neighbours (Å) after each atom.
Space group Cmcm (No. 63)
Unique sites:
1 Ba 0.0000 0.2410 0.2500 [4 per cell]  6 S 3.15-3.26
2 Cd 0.0000 0.5000 0.0000 [4 per cell]  6 S 2.70-2.77
3 Fe 0.0000 0.0347 0.7500 [4 per cell]  4 S 2.30-2.41
4 S 0.0000 0.1315 0.5657 [8 per cell]  1 Fe 2.30
5 S 0.0000 0.4380 0.7500 [4 per cell]  2 Fe 2.41

Calculated values
Final energy (eV per atom): -4.83
Mass density (kg/m³): 4760
Magnetic moment (μB per atom): 0.666


No. 2
## LiTcNiPb (PBE)

Data for LiTcNiPb after structural relaxation.

abc: 6.2825 6.2825 6.2825
angles: 90.00 90.00 90.00
With the nearest neighbours (Å) after each atom.
Space group F-43m (No. 216)
Unique sites:
1 Li 0.0000 0.0000 0.0000 [4 per cell]  4 Tc 2.72, 4 Ni 2.72
2 Tc 0.2500 0.2500 0.2500 [4 per cell]  4 Pb 2.72, 4 Li 2.72
3 Ni 0.2500 0.2500 0.7500 [4 per cell]  4 Pb 2.72, 4 Li 2.72
4 Pb 0.0000 0.0000 0.5000 [4 per cell]  4 Tc 2.72, 4 Ni 2.72

Calculated values
Final energy (eV per atom): -4.99
Mass density (kg/m³): 9933
Magnetic moment (μB per atom): 0.175
E above lowest polymorph (eV/f.u.): 0.22